! Mo2HOsAu (PBE, optimized geometry); values from VASP
! Uncorrected energy, eV/atom: -7.688
&SYSTEM
  ibrav = 0, nat = 5, ntyp = 4
/
ATOMIC_SPECIES
Mo 95.94 Mo.upf
H 1.01 H.upf
Os 190.23 Os.upf
Au 196.97 Au.upf
CELL_PARAMETERS angstrom
3.992 0.000 0.000
0.000 3.992 0.000
0.000 0.000 4.050
ATOMIC_POSITIONS crystal
Mo 0.000 0.500 0.000
Mo 0.500 0.000 0.000
H 0.000 0.000 0.000
Os 0.000 0.000 0.500
Au 0.500 0.500 0.500